No. 1
The following is a DFT calculation (PBE-GGA) of a geometry-optimized PBrNCl2 structure.

```
5
Lattice="5.301 0.000 0.000 0.000 5.301 0.000 0.000 0.000 5.182" Properties=species:S:1:pos:R:3 pbc="T T T"
P 0.000 0.000 0.000
Br 0.000 0.000 2.591
N 2.651 2.651 0.000
Cl 0.000 2.651 2.591
Cl 2.651 0.000 2.591
```

- crystal system = tetragonal
- formation energy without anion corrections (meV per atom) = 1635
- DOS(E_F) (states/eV per cell) = 2.582
- space-group type = P4/mmm (123)
- energy relative to the lowest polymorph listed for this composition (meV/atom) = 477

***

No. 2
The following is a DFT calculation (PBE-GGA) of a geometry-optimized DySbAu2 structure.

```
4
Lattice="0.000 3.547 3.547 3.547 0.000 3.547 3.547 3.547 0.000" Properties=species:S:1:pos:R:3 pbc="T T T"
Dy 0.000 0.000 0.000
Sb 3.547 3.547 3.547
Au 1.774 1.774 1.774
Au 5.321 5.321 5.321
```

- crystal system = cubic
- formation energy without anion corrections (meV per atom) = -605
- DOS(E_F) (states/eV per cell) = 1.908
- space-group type = Fm-3m (225)
- energy relative to the lowest polymorph listed for this composition (meV/atom) = 0

***

No. 3
The following is a DFT calculation (PBE-GGA) of a geometry-optimized MgSb2Pd4 structure.

```
14
Lattice="2.260 -6.686 0.000 2.260 6.686 0.000 0.000 0.000 8.697" Properties=species:S:1:pos:R:3 pbc="T T T"
Mg 2.260 4.338 6.523
Mg 2.260 -4.338 2.174
Sb 2.260 1.462 4.945
Sb 2.260 1.462 8.101
Sb 2.260 -1.462 0.596
Sb 2.260 -1.462 3.753
Pd 0.000 0.000 0.000
Pd 0.000 0.000 4.349
Pd 2.260 3.754 0.786
Pd 2.260 3.754 3.563
Pd 2.260 0.880 2.174
Pd 2.260 -0.880 6.523
Pd 2.260 -3.754 5.135
Pd 2.260 -3.754 7.911
```

- crystal system = orthorhombic
- formation energy without anion corrections (meV per atom) = -432
- DOS(E_F) (states/eV per cell) = 6.466
- space-group type = Cmcm (63)
- energy relative to the lowest polymorph listed for this composition (meV/atom) = 40

***

No. 4
The following is a DFT calculation (PBE-GGA) of a geometry-optimized ScSeS2 structure.

```
8
Lattice="-2.441 2.441 7.789 2.441 -2.441 7.789 2.441 2.441 -7.789" Properties=species:S:1:pos:R:3 pbc="T T T"
Sc 0.000 0.000 0.000
Sc 0.000 2.441 3.894
Se 2.441 0.000 3.894
Se 0.000 0.000 7.789
S 3.662 1.116 -1.947
S 1.116 1.221 1.947
S -1.221 1.325 5.842
S 1.325 1.221 9.736
```

- crystal system = tetragonal
- formation energy without anion corrections (meV per atom) = -461
- DOS(E_F) (states/eV per cell) = 4.528
- space-group type = I-42d (122)

***

No. 5
The following is a DFT calculation (PBE-GGA) of a geometry-optimized GdTh2Mg structure.

```
4
Lattice="3.490 0.000 0.000 0.000 3.490 0.000 0.000 0.000 10.040" Properties=species:S:1:pos:R:3 pbc="T T T"
Gd 0.000 0.000 0.000
Th 1.745 1.745 2.613
Th 1.745 1.745 7.428
Mg 0.000 0.000 5.020
```

- formation energy (eV per atom) = 0.089
- crystal system = tetragonal
- DOS(E_F) (states/eV per cell) = 4.881
- space-group type = P4/mmm (123)
- energy relative to the lowest polymorph listed for this composition (meV/atom) = 24

***

No. 6
The following is a DFT calculation (PBE-GGA) of a geometry-optimized Zr4PRh structure.

```
6
Lattice="0.000 3.923 3.923 3.923 0.000 3.923 3.923 3.923 0.000" Properties=species:S:1:pos:R:3 pbc="T T T"
Zr 0.982 0.982 0.982
Zr 2.941 2.941 0.982
Zr 2.941 0.982 2.941
Zr 0.982 2.941 2.941
P 5.885 5.885 5.885
Rh 3.923 3.923 3.923
```

- formation energy (eV per atom) = 0.360
- crystal system = cubic
- DOS(E_F) (states/eV per cell) = 6.355
- space-group type = F-43m (216)

***

No. 7
The following is a DFT calculation (PBE-GGA) of a geometry-optimized CuSe2N structure.

```
8
Lattice="-2.566 2.566 5.541 2.566 -2.566 5.541 2.566 2.566 -5.541" Properties=species:S:1:pos:R:3 pbc="T T T"
Cu 0.000 0.000 0.000
Cu 0.000 2.566 2.770
Se 1.283 -1.093 4.155
Se 1.473 1.283 1.385
Se 1.283 3.659 -1.385
Se 1.093 1.283 6.926
N 2.566 0.000 2.770
N 0.000 0.000 5.541
```

- crystal system = tetragonal
- formation energy without anion corrections (meV per atom) = 714
- DOS(E_F) (states/eV per cell) = 0.622
- space-group type = I-42d (122)

***

No. 8
The following is a DFT calculation (PBE-GGA) of a geometry-optimized Tl6CdAu8 structure.

```
15
Lattice="4.299 2.482 5.615 -4.299 2.482 5.615 0.000 -4.964 5.615" Properties=species:S:1:pos:R:3 pbc="T T T"
Tl -1.063 -1.735 6.877
Tl -2.035 0.053 9.969
Tl -0.971 1.789 6.877
Tl 0.971 -1.789 9.969
Tl 2.035 -0.053 6.877
Tl 1.063 1.735 9.969
Cd 0.000 0.000 0.000
Au -3.522 0.095 7.186
Au -1.843 -3.003 9.660
Au 0.000 0.000 3.041
Au 1.679 -3.098 7.186
Au -1.679 3.098 9.660
Au 0.000 0.000 13.805
Au 1.843 3.003 7.186
Au 3.522 -0.095 9.660
```

- formation energy (eV per atom) = -0.013
- crystal system = trigonal
- DOS(E_F) (states/eV per cell) = 5.389
- space-group type = R-3 (148)

***

No. 9
The following is a DFT calculation (PBE-GGA) of a geometry-optimized HfAl2NiI structure.

```
5
Lattice="4.531 0.000 0.000 0.000 4.531 0.000 0.000 0.000 5.110" Properties=species:S:1:pos:R:3 pbc="T T T"
Hf 0.000 0.000 0.000
Al 0.000 2.265 2.555
Al 2.265 0.000 2.555
Ni 0.000 0.000 2.555
I 2.265 2.265 0.000
```

- crystal system = tetragonal
- formation energy without anion corrections (meV per atom) = 3
- DOS(E_F) (states/eV per cell) = 2.300
- space-group type = P4/mmm (123)

***

No. 10
The following is a DFT calculation (PBE-GGA) of a geometry-optimized NbTe2I structure.

```
8
Lattice="-3.783 3.783 5.675 3.783 -3.783 5.675 3.783 3.783 -5.675" Properties=species:S:1:pos:R:3 pbc="T T T"
Nb 0.000 0.000 0.000
Nb 0.000 3.783 2.838
Te 5.674 1.192 -1.419
Te 1.192 1.891 1.419
Te -1.891 2.590 4.256
Te 2.590 1.891 7.094
I 3.783 0.000 2.838
I 0.000 0.000 5.675
```

- crystal system = tetragonal
- formation energy without anion corrections (meV per atom) = 134
- DOS(E_F) (states/eV per cell) = 1.311
- space-group type = I-42d (122)
- energy relative to the lowest polymorph listed for this composition (meV/atom) = 394

***

No. 11
The following is a DFT calculation (PBE-GGA) of a geometry-optimized Ti2Fe2Ag structure.

```
10
Lattice="6.900 0.000 0.000 0.000 6.900 0.000 0.000 0.000 2.973" Properties=species:S:1:pos:R:3 pbc="T T T"
Ti 1.090 2.360 0.000
Ti 2.360 5.810 0.000
Ti 4.540 1.090 0.000
Ti 5.810 4.540 0.000
Fe 0.925 4.375 1.486
Fe 2.525 0.925 1.486
Fe 4.375 5.975 1.486
Fe 5.975 2.525 1.486
Ag 0.000 0.000 1.486
Ag 3.450 3.450 1.486
```

- formation energy (eV per atom) = -0.026
- crystal system = tetragonal
- DOS(E_F) (states/eV per cell) = 10.095
- space-group type = P4/mbm (127)

***

No. 12
The following is a DFT calculation (PBE-GGA) of a geometry-optimized AcTb2ErSe6 structure.

```
10
Lattice="3.692 2.132 6.529 -3.692 2.132 6.529 0.000 -4.263 6.529" Properties=species:S:1:pos:R:3 pbc="T T T"
Ac 0.000 0.000 0.000
Tb 0.000 0.000 5.617
Tb 0.000 0.000 15.568
Er 0.000 0.000 9.522
Se -2.126 -0.266 7.593
Se -1.396 -2.127 10.841
Se 1.293 -1.708 7.593
Se -1.144 2.273 10.841
Se 0.833 1.974 7.593
Se 2.540 -0.145 10.841
```

- crystal system = trigonal
- formation energy without anion corrections (meV per atom) = -1875
- DOS(E_F) (states/eV per cell) = 0.000
- space-group type = R3 (146)